## NaSmTm2Te4 (PBE)

Data for a relaxed NaSmTm2Te4 crystal. Values from VASP.

Quantum ESPRESSO input file:
```
&SYSTEM
  ibrav = 0, nat = 8, ntyp = 4
/
ATOMIC_SPECIES
Te 127.60 Te.upf
Tm 168.93 Tm.upf
Na 22.99 Na.upf
Sm 150.36 Sm.upf
ATOMIC_POSITIONS angstrom
Te 1.229 -6.813 -0.667
Te 4.063 -3.616 -0.500
Tm 1.345 -4.153 0.845
Te -0.165 -2.794 -1.446
Te -1.373 -4.690 2.191
Na 0.000 0.000 0.000
Sm 2.579 -2.119 -2.849
Tm -2.859 -3.335 -0.109
CELL_PARAMETERS angstrom
-1.626 -1.301 -3.804
6.783 -2.937 -1.895
-4.093 -5.369 3.586
```

- formation energy (no corrections) (eV/atom) = -1.29
- mass density (Mg/m³) = 7.1
- crystal system = monoclinic